# MgZnS2 (PBE-GGA, optimized geometry)
# - raw formation energy (eV per atom) = -1.1080
# - spin magnetization (μB per atom) = 0.000
# - DOS(E_F) (states/eV/f.u.) = 0.0
data_MgZnS2
_chemical_formula_sum 'Mg4 Zn4 S8'
_symmetry_space_group_name_H-M 'P n a 21'
_symmetry_Int_Tables_number 33
_cell_length_a 6.8356
_cell_length_b 7.9010
_cell_length_c 6.4112
_cell_angle_alpha 90.00
_cell_angle_beta 90.00
_cell_angle_gamma 90.00
loop_
_symmetry_equiv_pos_as_xyz
'x,y,z'
'-x,-y,z+1/2'
'-x+1/2,y+1/2,z+1/2'
'x+1/2,-y+1/2,z'
loop_
_atom_site_label
_atom_site_type_symbol
_atom_site_fract_x
_atom_site_fract_y
_atom_site_fract_z
Mg1 Mg 0.0877 0.1239 0.0000
Zn1 Zn 0.0806 0.6258 0.9983
S1 S 0.0746 0.6189 0.6294
S2 S 0.0903 0.1313 0.6148